(1)
# TaNbBPt2, relaxed, DFT PBE
# N(E_F) in states/eV per cell: 4.0
# VASP energy in eV per atom: -8.38
# Volume in Å³ per cell: 76.4
data_TaNbBPt2
_cell_length_a 4.171
_cell_length_b 4.171
_cell_length_c 4.393
_cell_angle_alpha 90.00
_cell_angle_beta 90.00
_cell_angle_gamma 90.00
_symmetry_space_group_name_H-M 'P 4/m m m'
_symmetry_Int_Tables_number 123
_symmetry_space_group_name_Hall '-P 4 2'
loop_
_atom_site_label
_atom_site_fract_x
_atom_site_fract_y
_atom_site_fract_z
_atom_site_occupancy
Ta1 0.000 0.000 0.000 1
Nb1 0.500 0.500 0.000 1
B1 0.500 0.500 0.500 1
Pt1 0.000 0.500 0.500 1

***

(2)
# NbBTePt2, relaxed, DFT PBE
# Uncorrected formation energy in eV per atom: 1.512
# N(E_F) in states/eV per cell: 2.9
# VASP energy in eV per atom: -4.88
# Volume in Å³ per cell: 129.4
data_NbBTePt2
_cell_length_a 4.931
_cell_length_b 4.931
_cell_length_c 5.321
_cell_angle_alpha 90.00
_cell_angle_beta 90.00
_cell_angle_gamma 90.00
_symmetry_space_group_name_H-M 'P 4/m m m'
_symmetry_Int_Tables_number 123
_symmetry_space_group_name_Hall '-P 4 2'
loop_
_atom_site_label
_atom_site_fract_x
_atom_site_fract_y
_atom_site_fract_z
_atom_site_occupancy
Nb1 0.000 0.000 0.000 1
B1 0.500 0.500 0.500 1
Te1 0.000 0.000 0.500 1
Pt1 0.000 0.500 0.000 1

***

(3)
# Pu2NbB2Ru5, relaxed, DFT PBE
# N(E_F) in states/eV per cell: 35.3
# VASP energy in eV per atom: -10.20
# Volume in Å³ per cell: 294.9
data_Pu2NbB2Ru5
_cell_length_a 9.766
_cell_length_b 9.766
_cell_length_c 3.092
_cell_angle_alpha 90.00
_cell_angle_beta 90.00
_cell_angle_gamma 90.00
_symmetry_space_group_name_H-M 'P 4/m b m'
_symmetry_Int_Tables_number 127
_symmetry_space_group_name_Hall '-P 4 2ab'
loop_
_atom_site_label
_atom_site_fract_x
_atom_site_fract_y
_atom_site_fract_z
_atom_site_occupancy
Pu1 0.177 0.323 0.000 1
Nb1 0.000 0.000 0.000 1
B1 0.120 0.620 0.000 1
Ru1 0.000 0.500 0.500 1
Ru2 0.070 0.779 0.500 1

***

(4)
# Rb3NbB, relaxed, DFT PBE
# N(E_F) in states/eV per cell: 13.9
# VASP energy in eV per atom: -1.87
# Volume in Å³ per cell: 341.5
data_Rb3NbB
_cell_length_a 6.990
_cell_length_b 6.990
_cell_length_c 6.990
_cell_angle_alpha 90.00
_cell_angle_beta 90.00
_cell_angle_gamma 90.00
_symmetry_space_group_name_H-M 'P m -3 m'
_symmetry_Int_Tables_number 221
_symmetry_space_group_name_Hall '-P 4 2 3'
loop_
_atom_site_label
_atom_site_fract_x
_atom_site_fract_y
_atom_site_fract_z
_atom_site_occupancy
Rb1 0.000 0.000 0.500 1
Nb1 0.000 0.000 0.000 1
B1 0.500 0.500 0.500 1

***

(5)
# RbNbB3, relaxed, DFT PBE
# Energy above the lowest structure with this stoichiometry in meV per atom: 2130
# N(E_F) in states/eV per cell: 4.3
# VASP energy in eV per atom: -2.80
# Volume in Å³ per cell: 77.8
data_RbNbB3
_cell_length_a 4.269
_cell_length_b 4.269
_cell_length_c 4.269
_cell_angle_alpha 90.00
_cell_angle_beta 90.00
_cell_angle_gamma 90.00
_symmetry_space_group_name_H-M 'P m -3 m'
_symmetry_Int_Tables_number 221
_symmetry_space_group_name_Hall '-P 4 2 3'
loop_
_atom_site_label
_atom_site_fract_x
_atom_site_fract_y
_atom_site_fract_z
_atom_site_occupancy
Rb1 0.000 0.000 0.000 1
Nb1 0.500 0.500 0.500 1
B1 0.000 0.000 0.500 1

***

(6)
# RbNbB2, relaxed, DFT PBE
# Energy above the lowest structure with this stoichiometry in meV per atom: 0
# N(E_F) in states/eV per cell: 6.5
# VASP energy in eV per atom: -4.94
# Volume in Å³ per cell: 404.6
data_RbNbB2
_cell_length_a 6.853
_cell_length_b 6.853
_cell_length_c 8.616
_cell_angle_alpha 90.00
_cell_angle_beta 90.00
_cell_angle_gamma 90.00
_symmetry_space_group_name_H-M 'I -4 2 d'
_symmetry_Int_Tables_number 122
_symmetry_space_group_name_Hall 'I -4 2bw'
loop_
_atom_site_label
_atom_site_fract_x
_atom_site_fract_y
_atom_site_fract_z
_atom_site_occupancy
Rb1 0.000 0.000 0.000 1
Nb1 0.000 0.000 0.500 1
B1 0.107 0.250 0.625 1